No. 1
Below is an optimized crystal structure of Re4TeW, with properties calculated at the GGA-PBEsol level.

## Properties
M_tot in μB per formula unit: 0.00
Density of states at the Fermi level in states/eV per atom: 1.060
E_tot in eV/atom: -10.9750

Geometry as POSCAR:
```
Re4TeW
1.0
5.1992 0.0000 0.0000
2.5996 4.5026 0.0000
2.5996 1.5009 4.2451
Re W Te
4 1 1
Cartesian
3.9010 2.2522 1.5926
5.1992 3.0018 3.7126
5.1992 4.5008 1.5926
6.4974 2.2522 1.5926
0.0000 0.0000 0.0000
7.7988 4.5026 3.1838
```

***

No. 2
Below is an optimized crystal structure of Y2ReTe, with properties calculated at the GGA-PBEsol level.

## Properties
M_tot in μB per formula unit: 0.00
Density of states at the Fermi level in states/eV per atom: 1.106
E_tot in eV/atom: -7.3497

Geometry as POSCAR:
```
Y2ReTe
1.0
3.4036 0.0000 0.0000
1.7018 2.9476 0.0000
1.7018 0.9825 9.6042
Te Re Y
1 1 2
Cartesian
1.7018 0.9825 2.7823
3.4036 1.9650 4.5946
5.1053 2.9476 6.8240
5.1053 2.9476 0.2053
```

***

No. 3
Below is an optimized crystal structure of YReTe2, with properties calculated at the GGA-PBEsol level.

## Properties
M_tot in μB per formula unit: 0.00
Density of states at the Fermi level in states/eV per atom: 0.626
E_tot in eV/atom: -7.0217

Geometry as POSCAR:
```
YReTe2
1.0
-0.3462 1.0332 -3.3358
-2.2089 -4.0710 -1.0318
-4.2407 4.1605 3.5747
Te Re Y
2 1 1
Cartesian
-3.0918 -0.6504 -1.7265
-3.7040 1.7731 0.9336
-1.1044 -2.0355 -0.5159
-0.1731 0.5166 -1.6679
```

***

No. 4
Below is an optimized crystal structure of ZnRe2Te, with properties calculated at the GGA-PBEsol level.

## Properties
M_tot in μB per formula unit: 0.00
Density of states at the Fermi level in states/eV per atom: 0.706
Distance to the lowest polymorph of the same formula in kcal/mol of atoms: 7.594

Geometry as POSCAR:
```
ZnRe2Te
1.0
2.8402 0.0019 0.0000
-1.3023 2.5240 0.0000
0.0000 0.0000 9.8510
Re Te Zn
2 1 1
Cartesian
0.0000 0.0000 9.7446
0.7689 1.2630 7.6685
0.0000 0.0000 5.1072
0.7689 1.2630 2.1071
```